(1)
Compound: CoSbAs4
Source: Alexandria
Functional: PBE
Structure: relaxed

Unit cell a=5.557 b=5.557 c=5.557 alpha=60.00 beta=60.00 gamma=60.00
Fractional coordinates of all 6 atoms:
As (0.376, 0.376, 0.872)
As (0.376, 0.872, 0.376)
As (0.376, 0.376, 0.376)
As (0.872, 0.376, 0.376)
Co (0.750, 0.750, 0.750)
Sb (0.000, 0.000, 0.000)

Summary:
Calculated total energy, eV/atom: -4.23
Crystal system: cubic
Density of states at the Fermi level, states/eV/atom: 1.413
SG: F-43m (216)
ΔE_f (raw), meV/atom: 741
V, Å³/atom: 20.23
Calculated density, g/cm³: 6.57

***

(2)
Compound: Co2SbAs
Source: Alexandria
Functional: PBE
Structure: relaxed

Unit cell a=4.250 b=4.250 c=5.191 alpha=81.96 beta=81.96 gamma=44.52
Fractional coordinates of all 4 atoms:
Sb (0.509, 0.509, 0.465)
Co (0.246, 0.246, 0.232)
Co (0.019, 0.019, 0.883)
As (0.727, 0.727, 0.920)

Summary:
Calculated total energy, eV/atom: -5.72
Crystal system: monoclinic
Density of states at the Fermi level, states/eV/atom: 0.803
SG: Cm (8)
ΔE_f (raw), meV/atom: 25
V, Å³/atom: 16.25
Calculated density, g/cm³: 8.04

***

(3)
Compound: ScCoSbAs2
Source: Alexandria
Functional: PBE
Structure: relaxed

Unit cell a=4.423 b=5.552 c=4.423 alpha=90.00 beta=90.00 gamma=90.00
Fractional coordinates of all 5 atoms:
As (0.000, 0.000, 0.500)
As (0.500, 0.000, 0.000)
Co (0.000, 0.000, 0.000)
Sb (0.000, 0.500, 0.000)
Sc (0.500, 0.500, 0.500)

Summary:
Calculated total energy, eV/atom: -5.35
Crystal system: tetragonal
Density of states at the Fermi level, states/eV/atom: 0.952
SG: P4/mmm (123)
ΔE_f (raw), meV/atom: 22
V, Å³/atom: 21.72
Calculated density, g/cm³: 5.74

***

(4)
Compound: Sc2CoSbAs
Source: Alexandria
Functional: PBE
Structure: relaxed

Unit cell a=4.987 b=4.256 c=4.987 alpha=90.00 beta=90.00 gamma=90.00
Fractional coordinates of all 5 atoms:
Sc (0.000, 0.000, 0.500)
Sc (0.500, 0.000, 0.000)
As (0.000, 0.500, 0.000)
Co (0.000, 0.000, 0.000)
Sb (0.500, 0.500, 0.500)

Summary:
Calculated total energy, eV/atom: -6.16
Crystal system: tetragonal
Density of states at the Fermi level, states/eV/atom: 0.660
SG: P4/mmm (123)
ΔE_f (raw), meV/atom: -447
V, Å³/atom: 21.17
Calculated density, g/cm³: 5.42

***

(5)
Compound: CoSbAs2Se
Source: Alexandria
Functional: PBE
Structure: relaxed

Unit cell a=4.486 b=4.486 c=5.191 alpha=90.00 beta=90.00 gamma=90.00
Fractional coordinates of all 5 atoms:
Sb (0.500, 0.500, 0.500)
As (0.500, 0.000, 0.000)
As (0.000, 0.500, 0.000)
Se (0.000, 0.000, 0.500)
Co (0.000, 0.000, 0.000)

Summary:
Calculated total energy, eV/atom: -4.49
Crystal system: tetragonal
Density of states at the Fermi level, states/eV/atom: 0.738
E above lowest polymorph, meV/atom: 0.0
SG: P4/mmm (123)
ΔE_f (raw), meV/atom: 312
V, Å³/atom: 20.89
Calculated density, g/cm³: 6.51

***

(6)
Compound: CoSb2TeAs
Source: Alexandria
Functional: PBE
Structure: relaxed

Unit cell a=4.832 b=4.832 c=5.232 alpha=90.00 beta=90.00 gamma=90.00
Fractional coordinates of all 5 atoms:
Co (0.000, 0.000, 0.000)
As (0.500, 0.500, 0.500)
Sb (0.500, 0.000, 0.000)
Sb (0.000, 0.500, 0.000)
Te (0.000, 0.000, 0.500)

Summary:
Calculated total energy, eV/atom: -4.18
Crystal system: tetragonal
Density of states at the Fermi level, states/eV/atom: 1.197
E above lowest polymorph, meV/atom: 0.0
SG: P4/mmm (123)
ΔE_f (raw), meV/atom: 444
V, Å³/atom: 24.43
Calculated density, g/cm³: 6.87

***

(7)
Compound: CoSb2TeAs
Source: Alexandria
Functional: PBE
Structure: relaxed

Unit cell a=5.275 b=5.275 c=5.473 alpha=90.00 beta=90.00 gamma=90.00
Fractional coordinates of all 5 atoms:
As (0.000, 0.000, 0.000)
Co (0.500, 0.500, 0.500)
Sb (0.500, 0.000, 0.000)
Sb (0.000, 0.500, 0.000)
Te (0.000, 0.000, 0.500)

Summary:
Calculated total energy, eV/atom: -3.46
Crystal system: tetragonal
Density of states at the Fermi level, states/eV/atom: 1.326
E above lowest polymorph, meV/atom: 729.0
SG: P4/mmm (123)
ΔE_f (raw), meV/atom: 1173
V, Å³/atom: 30.45
Calculated density, g/cm³: 5.51

***

(8)
Compound: Th2Co4SbAs3
Source: Alexandria
Functional: PBE
Structure: relaxed

Unit cell a=4.231 b=4.231 c=9.630 alpha=90.00 beta=90.00 gamma=90.00
Fractional coordinates of all 10 atoms:
Th (0.500, 0.000, 0.234)
Th (0.000, 0.500, 0.766)
As (0.000, 0.500, 0.128)
As (0.500, 0.000, 0.872)
As (0.000, 0.000, 0.500)
Co (0.500, 0.000, 0.628)
Co (0.000, 0.500, 0.372)
Co (0.000, 0.000, 0.000)
Co (0.500, 0.500, 0.000)
Sb (0.500, 0.500, 0.500)

Summary:
Calculated total energy, eV/atom: -6.82
Crystal system: tetragonal
Density of states at the Fermi level, states/eV/atom: 0.507
SG: P-4m2 (115)
ΔE_f (raw), meV/atom: -687
V, Å³/atom: 17.24
Calculated density, g/cm³: 10.08

***

(9)
Compound: ScCoAs
Source: Alexandria
Functional: PBE
Structure: relaxed

Unit cell a=4.646 b=4.646 c=4.646 alpha=138.42 beta=132.57 gamma=64.88
Fractional coordinates of all 3 atoms:
As (0.007, 0.007, 0.000)
Co (0.320, 0.320, 0.000)
Sc (0.673, 0.673, 0.000)

Summary:
Calculated total energy, eV/atom: -6.39
Crystal system: orthorhombic
Density of states at the Fermi level, states/eV/atom: 0.994
SG: Imm2 (44)
Formation energy from the elements, eV/f.u.: -1.1
V, Å³/atom: 16.11
Calculated density, g/cm³: 6.14

***

(10)
Compound: ScCo4As
Source: Alexandria
Functional: PBE
Structure: relaxed

Unit cell a=4.841 b=4.841 c=4.841 alpha=60.00 beta=60.00 gamma=60.00
Fractional coordinates of all 6 atoms:
Co (0.375, 0.375, 0.875)
Co (0.375, 0.375, 0.375)
Co (0.375, 0.875, 0.375)
Co (0.875, 0.375, 0.375)
Sc (0.750, 0.750, 0.750)
As (0.000, 0.000, 0.000)

Summary:
Calculated total energy, eV/atom: -6.70
Crystal system: cubic
Density of states at the Fermi level, states/eV/atom: 1.158
SG: F-43m (216)
Formation energy from the elements, eV/f.u.: -0.8
V, Å³/atom: 13.37
Calculated density, g/cm³: 7.36

***

(11)
Compound: Sc2CoAs2
Source: Alexandria
Functional: PBE
Structure: relaxed

Unit cell a=6.390 b=6.390 c=4.100 alpha=90.00 beta=90.00 gamma=90.00
Fractional coordinates of all 10 atoms:
As (0.855, 0.645, 0.000)
As (0.355, 0.855, 0.000)
As (0.645, 0.145, 0.000)
As (0.145, 0.355, 0.000)
Sc (0.330, 0.170, 0.500)
Sc (0.830, 0.330, 0.500)
Sc (0.670, 0.830, 0.500)
Sc (0.170, 0.670, 0.500)
Co (0.500, 0.500, 0.000)
Co (0.000, 0.000, 0.000)

Summary:
Calculated total energy, eV/atom: -6.64
Crystal system: tetragonal
Density of states at the Fermi level, states/eV/atom: 0.582
SG: P4/mbm (127)
Formation energy from the elements, eV/f.u.: -4.1
V, Å³/atom: 16.74
Calculated density, g/cm³: 5.93

***

(12)
Compound: ScCo3As2
Source: Alexandria
Functional: PBE
Structure: relaxed

Unit cell a=3.700 b=7.864 c=9.199 alpha=106.91 beta=90.00 gamma=103.61
Fractional coordinates of all 18 atoms:
Co (0.618, 0.236, 0.203)
Co (0.214, 0.429, 0.392)
Co (0.042, 0.084, 0.332)
Co (0.786, 0.571, 0.608)
Co (0.382, 0.764, 0.797)
Co (0.958, 0.916, 0.668)
Co (0.319, 0.638, 0.033)
Co (0.681, 0.362, 0.967)
Co (0.500, 0.000, 0.500)
As (0.195, 0.391, 0.131)
As (0.805, 0.609, 0.869)
As (0.640, 0.280, 0.461)
As (0.360, 0.720, 0.539)
As (0.459, 0.917, 0.215)
As (0.541, 0.083, 0.785)
Sc (0.843, 0.686, 0.302)
Sc (0.000, 0.000, 0.000)
Sc (0.157, 0.314, 0.698)

Summary:
Calculated total energy, eV/atom: -6.74
Crystal system: monoclinic
Density of states at the Fermi level, states/eV/atom: 0.611
SG: C2/m (12)
Formation energy from the elements, eV/f.u.: -3.5
V, Å³/atom: 13.79
Calculated density, g/cm³: 7.46

***

(13)
Compound: Sc2Co5As3
Source: Alexandria
Functional: PBE
Structure: relaxed

Unit cell a=3.871 b=6.305 c=11.454 alpha=90.00 beta=99.73 gamma=90.00
Fractional coordinates of all 20 atoms:
Sc (0.175, 0.738, 0.349)
Sc (0.482, 0.757, 0.963)
Sc (0.825, 0.238, 0.651)
Sc (0.518, 0.257, 0.037)
Co (0.129, 0.231, 0.258)
Co (0.290, 0.918, 0.579)
Co (0.710, 0.418, 0.421)
Co (0.295, 0.524, 0.591)
Co (0.943, 0.093, 0.887)
Co (0.601, 0.897, 0.203)
Co (0.057, 0.593, 0.113)
Co (0.871, 0.731, 0.742)
Co (0.705, 0.024, 0.409)
Co (0.399, 0.397, 0.797)
As (0.767, 0.724, 0.534)
As (0.047, 0.972, 0.094)
As (0.612, 0.511, 0.224)
As (0.388, 0.011, 0.776)
As (0.233, 0.224, 0.466)
As (0.953, 0.472, 0.906)

Summary:
Calculated total energy, eV/atom: -6.76
Crystal system: orthorhombic
Density of states at the Fermi level, states/eV/atom: 0.617
SG: Cmc2_1 (36)
Formation energy from the elements, eV/f.u.: -5.4
V, Å³/atom: 13.78
Calculated density, g/cm³: 7.34

***

(14)
Compound: ScCo2As
Source: Alexandria
Functional: PBE
Structure: relaxed

Unit cell a=3.920 b=3.922 c=3.510 alpha=90.04 beta=90.00 gamma=90.00
Fractional coordinates of all 4 atoms:
Sc (0.000, 0.375, 0.625)
As (0.500, 0.875, 0.626)
Co (0.000, 0.875, 0.125)
Co (0.500, 0.375, 0.125)

Summary:
Calculated total energy, eV/atom: -6.66
Crystal system: tetragonal
Density of states at the Fermi level, states/eV/atom: 0.867
SG: P4/mmm (123)
Formation energy from the elements, eV/f.u.: -1.5
V, Å³/atom: 13.49
Calculated density, g/cm³: 7.32

***

(15)
Compound: Sc2CoAs2
Source: Alexandria
Functional: PBE
Structure: relaxed

Unit cell a=5.237 b=5.237 c=5.368 alpha=60.81 beta=60.81 gamma=90.00
Fractional coordinates of all 5 atoms:
Sc (0.250, 0.750, 0.500)
Sc (0.750, 0.250, 0.500)
As (0.696, 0.696, 0.608)
As (0.304, 0.304, 0.392)
Co (0.000, 0.000, 0.000)

Summary:
Calculated total energy, eV/atom: -6.22
Crystal system: tetragonal
Density of states at the Fermi level, states/eV/atom: 1.072
SG: I4/mmm (139)
Formation energy from the elements, eV/f.u.: -2.0
V, Å³/atom: 21.32
Calculated density, g/cm³: 4.65

***

(16)
Compound: ScCo2As
Source: Alexandria
Functional: PBE
Structure: relaxed

Unit cell a=5.429 b=5.429 c=6.651 alpha=65.91 beta=65.91 gamma=90.00
Fractional coordinates of all 8 atoms:
As (0.750, 0.250, 0.500)
As (0.000, 0.000, 0.000)
Sc (0.500, 0.500, 0.000)
Sc (0.250, 0.750, 0.500)
Co (0.674, 0.125, 0.250)
Co (0.375, 0.326, 0.750)
Co (0.875, 0.924, 0.750)
Co (0.076, 0.625, 0.250)

Summary:
Calculated total energy, eV/atom: -5.89
Crystal system: tetragonal
Density of states at the Fermi level, states/eV/atom: 0.400
SG: I-42d (122)
Formation energy from the elements, eV/f.u.: 1.6
V, Å³/atom: 20.01
Calculated density, g/cm³: 4.93

***

(17)
Compound: ScCoAs
Source: Alexandria
Functional: PBE
Structure: relaxed

Unit cell a=3.860 b=6.416 c=11.024 alpha=90.06 beta=90.00 gamma=90.00
Fractional coordinates of all 18 atoms:
Co (0.250, 0.991, 0.088)
Co (0.750, 0.009, 0.912)
Co (0.750, 0.151, 0.540)
Co (0.250, 0.347, 0.207)
Co (0.250, 0.849, 0.460)
Co (0.750, 0.653, 0.793)
Sc (0.250, 0.484, 0.625)
Sc (0.250, 0.336, 0.925)
Sc (0.750, 0.664, 0.075)
Sc (0.750, 0.012, 0.298)
Sc (0.750, 0.516, 0.375)
Sc (0.250, 0.988, 0.702)
As (0.750, 0.230, 0.091)
As (0.250, 0.724, 0.249)
As (0.250, 0.225, 0.423)
As (0.750, 0.276, 0.751)
As (0.750, 0.775, 0.577)
As (0.250, 0.770, 0.909)

Summary:
Calculated total energy, eV/atom: -6.94
Crystal system: monoclinic
Density of states at the Fermi level, states/eV/atom: 0.683
SG: P2_1/m (11)
Formation energy from the elements, eV/f.u.: -2.7
V, Å³/atom: 15.17
Calculated density, g/cm³: 6.52

***

(18)
Compound: Sc2Co12As7
Source: Alexandria
Functional: PBE
Structure: relaxed

Unit cell a=3.653 b=9.299 c=9.299 alpha=120.00 beta=90.00 gamma=90.00
Fractional coordinates of all 21 atoms:
Sc (0.000, 0.667, 0.333)
Sc (0.500, 0.000, 0.000)
Co (0.500, 0.386, 0.285)
Co (0.500, 0.715, 0.101)
Co (0.000, 0.274, 0.043)
Co (0.000, 0.454, 0.509)
Co (0.000, 0.957, 0.231)
Co (0.500, 0.233, 0.796)
Co (0.000, 0.055, 0.546)
Co (0.500, 0.563, 0.767)
Co (0.000, 0.769, 0.726)
Co (0.000, 0.491, 0.945)
Co (0.500, 0.204, 0.437)
Co (0.500, 0.899, 0.614)
As (0.000, 0.746, 0.958)
As (0.500, 0.922, 0.375)
As (0.500, 0.625, 0.548)
As (0.500, 0.452, 0.078)
As (0.000, 0.333, 0.667)
As (0.000, 0.042, 0.788)
As (0.000, 0.212, 0.254)

Summary:
Calculated total energy, eV/atom: -6.66
Crystal system: hexagonal
Density of states at the Fermi level, states/eV/atom: 0.614
SG: P-6 (174)
Formation energy from the elements, eV/f.u.: -9.4
V, Å³/atom: 13.03
Calculated density, g/cm³: 8.02

***

(19)
Compound: Sc2Co2As
Source: Alexandria
Functional: PBE
Structure: relaxed

Unit cell a=6.440 b=6.440 c=3.811 alpha=90.00 beta=90.00 gamma=90.00
Fractional coordinates of all 10 atoms:
Sc (0.320, 0.180, 0.500)
Sc (0.180, 0.680, 0.500)
Sc (0.820, 0.320, 0.500)
Sc (0.680, 0.820, 0.500)
Co (0.124, 0.376, 0.000)
Co (0.376, 0.876, 0.000)
Co (0.624, 0.124, 0.000)
Co (0.876, 0.624, 0.000)
As (0.500, 0.500, 0.000)
As (0.000, 0.000, 0.000)

Summary:
Calculated total energy, eV/atom: -6.78
Crystal system: tetragonal
Density of states at the Fermi level, states/eV/atom: 0.979
SG: P4/mbm (127)
Formation energy from the elements, eV/f.u.: -2.4
V, Å³/atom: 15.80
Calculated density, g/cm³: 5.94

***

(20)
Compound: ScCo4As2
Source: Alexandria
Functional: PBE
Structure: relaxed

Unit cell a=3.688 b=7.105 c=7.105 alpha=90.00 beta=90.00 gamma=90.00
Fractional coordinates of all 14 atoms:
Co (0.000, 0.084, 0.348)
Co (0.500, 0.416, 0.848)
Co (0.500, 0.848, 0.416)
Co (0.500, 0.584, 0.152)
Co (0.000, 0.916, 0.652)
Co (0.000, 0.348, 0.084)
Co (0.500, 0.152, 0.584)
Co (0.000, 0.652, 0.916)
Sc (0.500, 0.000, 0.000)
Sc (0.000, 0.500, 0.500)
As (0.500, 0.720, 0.720)
As (0.500, 0.280, 0.280)
As (0.000, 0.220, 0.780)
As (0.000, 0.780, 0.220)

Summary:
Calculated total energy, eV/atom: -6.77
Crystal system: tetragonal
Density of states at the Fermi level, states/eV/atom: 1.140
SG: P4_2/mnm (136)
Formation energy from the elements, eV/f.u.: -3.3
V, Å³/atom: 13.30
Calculated density, g/cm³: 7.68

***

(21)
Compound: ScCoAs
Source: Alexandria
Functional: PBE
Structure: relaxed

Unit cell a=4.023 b=4.023 c=3.355 alpha=90.00 beta=90.00 gamma=120.00
Fractional coordinates of all 3 atoms:
Sc (0.333, 0.667, 0.667)
Co (0.667, 0.333, 0.167)
As (0.000, 0.000, 0.167)

Summary:
Calculated total energy, eV/atom: -6.81
Crystal system: hexagonal
Density of states at the Fermi level, states/eV/atom: 0.873
SG: P-6m2 (187)
Formation energy from the elements, eV/f.u.: -2.4
V, Å³/atom: 15.67
Calculated density, g/cm³: 6.32

***

(22)
Compound: ScCo5As3
Source: Alexandria
Functional: PBE
Structure: relaxed

Unit cell a=3.718 b=6.330 c=11.252 alpha=90.00 beta=90.00 gamma=107.08
Fractional coordinates of all 18 atoms:
Co (0.196, 0.393, 0.569)
Co (0.564, 0.127, 0.634)
Co (0.804, 0.607, 0.069)
Co (0.000, 0.000, 0.500)
Co (0.436, 0.873, 0.134)
Co (0.000, 0.000, 0.000)
Co (0.564, 0.127, 0.866)
Co (0.436, 0.873, 0.366)
Co (0.804, 0.607, 0.431)
Co (0.196, 0.393, 0.931)
As (0.618, 0.237, 0.061)
As (0.382, 0.763, 0.561)
As (0.092, 0.184, 0.750)
As (0.382, 0.763, 0.939)
As (0.618, 0.237, 0.439)
As (0.908, 0.816, 0.250)
Sc (0.774, 0.547, 0.750)
Sc (0.226, 0.453, 0.250)

Summary:
Calculated total energy, eV/atom: -6.55
Crystal system: orthorhombic
Density of states at the Fermi level, states/eV/atom: 0.764
SG: Cmcm (63)
Formation energy from the elements, eV/f.u.: -3.1
V, Å³/atom: 14.07
Calculated density, g/cm³: 7.40

***

(23)
Compound: ScCoAs4
Source: Alexandria
Functional: PBE
Structure: relaxed

Unit cell a=5.441 b=5.441 c=5.441 alpha=60.00 beta=60.00 gamma=60.00
Fractional coordinates of all 6 atoms:
As (0.376, 0.376, 0.873)
As (0.873, 0.376, 0.376)
As (0.376, 0.873, 0.376)
As (0.376, 0.376, 0.376)
Co (0.750, 0.750, 0.750)
Sc (0.000, 0.000, 0.000)

Summary:
Calculated total energy, eV/atom: -5.01
Crystal system: cubic
Density of states at the Fermi level, states/eV/atom: 1.275
SG: F-43m (216)
Formation energy from the elements, eV/f.u.: 2.0
V, Å³/atom: 18.99
Calculated density, g/cm³: 5.88